VASP calculation (PBE-GGA) on a relaxed structure of LaCuCl.

Energy above the lowest structure with this stoichiometry   484 meV/atom
Crystal system   cubic
Formation energy (no corrections)   -674.9 meV per atom

Lattice parameters (Å, degrees): 4.8691 4.8691 4.8691 60.00 60.00 60.00
With the nearest neighbours (Å) after each atom.
Positions (direct):
Cl 0.0000 0.0000 0.0000  4 La 2.98
Cu 0.5000 0.5000 0.5000  4 La 2.98
La 0.2500 0.2500 0.2500  4 Cl 2.98, 4 Cu 2.98


VASP calculation (PBE-GGA) on a relaxed structure of LaCuCl.

Energy above the lowest structure with this stoichiometry   0 meV/atom
Crystal system   monoclinic
Formation energy (no corrections)   -1159.0 meV per atom

Lattice parameters (Å, degrees): 4.2128 4.2128 10.8635 93.06 93.06 60.45
With the nearest neighbours (Å) after each atom.
Positions (direct):
La 0.9746 0.9746 0.6829  3 Cu 2.89-3.05, 3 Cl 2.96-3.00
La 0.0254 0.0254 0.3171  3 Cu 2.89-3.05, 3 Cl 2.96-3.00
Cu 0.6663 0.6663 0.5020  3 Cu 2.42-2.45
Cu 0.3337 0.3337 0.4980  3 Cu 2.42-2.45
Cl 0.6809 0.6809 0.1576  3 La 2.96-3.00
Cl 0.3191 0.3191 0.8424  3 La 2.96-3.00


VASP calculation (PBE-GGA) on a relaxed structure of La3CuCl3.

Crystal system   cubic
Formation energy (no corrections)   -1421.0 meV per atom

Lattice parameters (Å, degrees): 5.9181 5.9181 5.9181 90.00 90.00 90.00
With the nearest neighbours (Å) after each atom.
Positions (direct):
La 0.5000 0.0000 0.5000  2 Cu 2.96, 4 Cl 2.96
La 0.5000 0.5000 0.0000  4 Cl 2.96, 2 Cu 2.96
La 0.0000 0.5000 0.5000  4 Cl 2.96, 2 Cu 2.96
Cu 0.5000 0.5000 0.5000  6 La 2.96
Cl 0.0000 0.5000 0.0000  4 La 2.96
Cl 0.0000 0.0000 0.5000  4 La 2.96
Cl 0.5000 0.0000 0.0000  4 La 2.96


VASP calculation (PBE-GGA) on a relaxed structure of LaCuCl.

Energy above the lowest structure with this stoichiometry   593 meV/atom
Crystal system   cubic
Formation energy (no corrections)   -566.1 meV per atom

Lattice parameters (Å, degrees): 4.7415 4.7415 4.7415 60.00 60.00 60.00
With the nearest neighbours (Å) after each atom.
Positions (direct):
Cl 0.2500 0.2500 0.2500  4 La 2.90, 4 Cu 2.90
Cu 0.0000 0.0000 0.0000  4 Cl 2.90
La 0.5000 0.5000 0.5000  4 Cl 2.90


VASP calculation (PBE-GGA) on a relaxed structure of LaCuCl.

Energy above the lowest structure with this stoichiometry   471 meV/atom
Crystal system   tetragonal
Formation energy (no corrections)   -688.4 meV per atom

Lattice parameters (Å, degrees): 7.0145 7.0153 3.5832 75.19 75.22 29.59
With the nearest neighbours (Å) after each atom.
Positions (direct):
Cl 0.0374 0.0374 0.9626  4 La 3.01
Cu 0.3006 0.3006 0.6994  4 La 3.12, 1 Cl 3.44
La 0.6619 0.6619 0.3381  4 Cl 3.01, 4 Cu 3.12


VASP calculation (PBE-GGA) on a relaxed structure of LaCu2Cl.

Energy above the lowest structure with this stoichiometry   0 meV/atom
Crystal system   trigonal
Formation energy (no corrections)   -606.9 meV per atom

Lattice parameters (Å, degrees): 7.4949 7.4949 7.4949 32.80 32.80 32.80
With the nearest neighbours (Å) after each atom.
Positions (direct):
Cl 0.7723 0.7723 0.7723  3 La 2.98
Cu 0.9429 0.9429 0.9429  3 Cu 2.45
Cu 0.2658 0.2658 0.2658  3 Cu 2.45
La 0.5190 0.5190 0.5190  6 Cu 2.98-3.11, 3 Cl 2.98


VASP calculation (PBE-GGA) on a relaxed structure of La2CuCl.

Energy above the lowest structure with this stoichiometry   281 meV/atom
Crystal system   cubic
Formation energy (no corrections)   -602.7 meV per atom

Lattice parameters (Å, degrees): 5.1844 5.1844 5.1844 60.00 60.00 60.00
With the nearest neighbours (Å) after each atom.
Positions (direct):
Cl 0.0000 0.0000 0.0000  8 La 3.17
Cu 0.5000 0.5000 0.5000  8 La 3.17
La 0.2500 0.2500 0.2500  4 Cl 3.17, 4 Cu 3.17
La 0.7500 0.7500 0.7500  4 Cu 3.17, 4 Cl 3.17


VASP calculation (PBE-GGA) on a relaxed structure of LaCu2Cl6.

Crystal system   monoclinic
Formation energy (no corrections)   -1290.5 meV per atom

Lattice parameters (Å, degrees): 6.9569 8.5454 8.5453 74.86 73.32 73.32
With the nearest neighbours (Å) after each atom.
Positions (direct):
La 0.2500 0.1674 0.8326  6 Cl 2.77-3.03
La 0.7500 0.8326 0.1674  6 Cl 2.77-3.03
Cu 0.2795 0.6334 0.7524  4 Cl 2.26-2.35
Cu 0.2205 0.2476 0.3666  4 Cl 2.26-2.35
Cu 0.7205 0.3666 0.2476  4 Cl 2.26-2.35
Cu 0.7795 0.7524 0.6334  4 Cl 2.26-2.35
Cl 0.4970 0.7705 0.5366  2 Cu 2.29-2.31
Cl 0.0030 0.4634 0.2295  2 Cu 2.29-2.31
Cl 0.5030 0.2295 0.4634  2 Cu 2.29-2.31
Cl 0.9970 0.5366 0.7705  2 Cu 2.29-2.31
Cl 0.9873 0.8234 0.3823  1 Cu 2.26
Cl 0.5127 0.6177 0.1766  1 Cu 2.26
Cl 0.0127 0.1766 0.6177  1 Cu 2.26
Cl 0.4873 0.3823 0.8234  1 Cu 2.26
Cl 0.1455 0.8289 0.9286  1 Cu 2.35
Cl 0.3545 0.0714 0.1711  1 Cu 2.35
Cl 0.8545 0.1711 0.0714  1 Cu 2.35
Cl 0.6455 0.9286 0.8289  1 Cu 2.35


VASP calculation (PBE-GGA) on a relaxed structure of La2CuCl.

Energy above the lowest structure with this stoichiometry   867 meV/atom
Crystal system   cubic
Formation energy (no corrections)   -17.5 meV per atom

Lattice parameters (Å, degrees): 5.1292 5.1292 5.1292 60.00 60.00 60.00
With the nearest neighbours (Å) after each atom.
Positions (direct):
Cl 0.5000 0.5000 0.5000  4 La 3.14, 4 Cu 3.14
Cu 0.7500 0.7500 0.7500  4 Cl 3.14, 4 La 3.14
La 0.0000 0.0000 0.0000  4 Cu 3.14, 4 La 3.14
La 0.2500 0.2500 0.2500  4 Cl 3.14, 4 La 3.14


VASP calculation (PBE-GGA) on a relaxed structure of LaCuCl.

Energy above the lowest structure with this stoichiometry   485 meV/atom
Crystal system   trigonal
Formation energy (no corrections)   -674.4 meV per atom

Lattice parameters (Å, degrees): 4.8498 4.8498 3.7535 90.00 90.00 120.00
With the nearest neighbours (Å) after each atom.
Positions (direct):
Cl 0.0000 0.0000 0.8312  3 La 2.80
Cu 0.6667 0.3333 0.3333  6 Cl 3.37-3.38, 6 La 3.37-3.38, 2 Cu 3.75
La 0.3333 0.6667 0.8355  3 Cl 2.80


VASP calculation (PBE-GGA) on a relaxed structure of LaCuCl.

Energy above the lowest structure with this stoichiometry   13 meV/atom
Crystal system   trigonal
Formation energy (no corrections)   -1146.4 meV per atom

Lattice parameters (Å, degrees): 4.1957 4.1957 11.0763 79.08 79.08 60.00
With the nearest neighbours (Å) after each atom.
Positions (direct):
La 0.5624 0.5624 0.3128  3 Cl 2.99, 6 Cu 3.13-3.18
La 0.4376 0.4376 0.6872  3 Cl 2.99, 6 Cu 3.13-3.18
Cl 0.2830 0.2830 0.1509  3 La 2.99
Cl 0.7170 0.7170 0.8491  3 La 2.99
Cu 0.8344 0.8344 0.4969  3 Cu 2.42
Cu 0.1656 0.1656 0.5031  3 Cu 2.42


VASP calculation (PBE-GGA) on a relaxed structure of LaCu2Cl.

Energy above the lowest structure with this stoichiometry   167 meV/atom
Crystal system   orthorhombic
Formation energy (no corrections)   -440.1 meV per atom

Lattice parameters (Å, degrees): 5.9451 5.9451 5.9451 140.70 141.09 56.50
With the nearest neighbours (Å) after each atom.
Positions (direct):
Cl 0.2500 0.7500 0.5000  4 La 2.81
Cu 0.0001 0.0001 0.0000  4 Cu 2.81
Cu 0.4999 0.4999 0.0000  4 Cu 2.81
La 0.7500 0.2500 0.5000  4 Cl 2.81


Number 1: calculated density 4.84 Mg/m³. Number 2: calculated density 4.72 Mg/m³. Number 3: calculated density 4.70 Mg/m³. Number 4: calculated density 5.24 Mg/m³. Number 5: calculated density 4.70 Mg/m³. Number 6: calculated density 4.55 Mg/m³. Number 7: calculated density 6.35 Mg/m³. Number 8: calculated density 3.48 Mg/m³. Number 9: calculated density 6.56 Mg/m³. Number 10: calculated density 5.17 Mg/m³. Number 11: calculated density 4.80 Mg/m³. Number 12: calculated density 6.04 Mg/m³.